TmPPbO: optimized geometry, PBE-GGA.

Results
space group = Pmc2_1 (26)
distance to the lowest polymorph of the same formula = 0 meV per atom

abc: 3.904 8.507 5.745
angles: 90.00 90.00 90.00
Element x y z (fractional)
O1 0.000 0.760 0.397
O2 0.000 0.240 0.897
P1 0.500 0.343 0.420
P2 0.500 0.657 0.920
Pb1 0.000 0.864 0.006
Pb2 0.000 0.136 0.506
Tm1 0.500 0.661 0.431
Tm2 0.500 0.339 0.931

PuZr: optimized geometry, PBE-GGA.

Results
space group = Pmm2 (25)

abc: 5.637 6.490 5.323
angles: 90.00 90.00 90.00
Site moments in Bohr magnetons follow the coordinates.
Element x y z (fractional)
Pu1 0.000 0.000 0.000  5.32
Pu2 0.337 0.000 0.500  5.29
Pu3 0.831 0.252 0.500  5.29
Pu4 0.831 0.748 0.500  5.29
Zr1 0.499 0.255 0.000  -0.08
Zr2 0.004 0.500 0.000  -0.06
Zr3 0.499 0.745 0.000  -0.08
Zr4 0.334 0.500 0.500  -0.09

SmCoGe: optimized geometry, PBE-GGA.

Results
space group = Pnma (62)

abc: 7.163 4.342 7.006
angles: 90.00 90.00 90.00
Element x y z (fractional)
Co1 0.355 0.250 0.068
Co2 0.855 0.250 0.432
Co3 0.145 0.750 0.568
Co4 0.645 0.750 0.932
Ge1 0.695 0.250 0.105
Ge2 0.195 0.250 0.395
Ge3 0.805 0.750 0.605
Ge4 0.305 0.750 0.895
Sm1 0.978 0.750 0.188
Sm2 0.478 0.750 0.312
Sm3 0.522 0.250 0.688
Sm4 0.022 0.250 0.812

Dy3In2SnIr2Pd: optimized geometry, PBE-GGA.

Results
space group = Amm2 (38)

abc: 3.879 7.594 7.594
angles: 120.05 90.00 90.00
Element x y z (fractional)
Dy1 0.000 0.411 0.000
Dy2 0.000 0.000 0.411
Dy3 0.000 0.589 0.589
In1 0.500 0.739 0.000
In2 0.500 0.000 0.739
Ir1 0.500 0.663 0.333
Ir2 0.500 0.333 0.663
Pd1 0.000 0.004 0.004
Sn1 0.500 0.261 0.261

WC8: optimized geometry, PBE-GGA.

Results
space group = Fddd (70)
distance to the lowest polymorph of the same formula = 0 meV per atom

abc: 8.508 7.727 5.030
angles: 80.66 63.66 35.68
Element x y z (fractional)
C1 0.289 0.953 0.045
C2 0.786 0.453 0.048
C3 0.464 0.797 0.202
C4 0.961 0.297 0.205
C5 0.045 0.712 0.289
C6 0.538 0.205 0.297
C7 0.714 0.048 0.453
C8 0.202 0.536 0.464
C9 0.797 0.464 0.536
C10 0.297 0.961 0.538
C11 0.953 0.289 0.712
C12 0.453 0.786 0.714
C13 0.048 0.714 0.786
C14 0.536 0.202 0.797
C15 0.712 0.045 0.953
C16 0.205 0.538 0.961
W1 0.000 0.000 0.000
W2 0.250 0.250 0.250

ScBeAsOs: optimized geometry, PBE-GGA.

Results
space group = F-43m (216)
distance to the lowest polymorph of the same formula = 0 meV per atom

abc: 4.324 4.324 4.324
angles: 60.00 60.00 60.00
Element x y z (fractional)
As1 0.250 0.250 0.250
Be1 0.750 0.750 0.750
Os1 0.500 0.500 0.500
Sc1 0.000 0.000 0.000

Asked for theoretical density across the records above, the calculation gives 7.36, 11.43, 8.59, 11.38, 5.81, 9.27 g/cm³ in order.
Asked for uncorrected energy across the records above, the calculation gives -48.6, -90.2, -73.0, -53.3, -164.5, -26.9 eV for the cell shown in order.
Asked for magnetization across the records above, the calculation gives 0.00, 5.46, 0.04, 0.01, 0.05, 0.00 μB/f.u. in order.